1.
! GGA-PBE Ac2PaSbN5, relaxed; values from VASP
! Symmetry: No. 36
! Electronic total energy: -7.940 eV per atom
! Density of states at the Fermi level: 0.0899 states/eV/atom
! V: 307.7 Å³ per cell
&SYSTEM
  ibrav = 0, nat = 18, ntyp = 4
/
ATOMIC_SPECIES
Ac 227.00 Ac.upf
Pa 231.04 Pa.upf
Sb 121.76 Sb.upf
N 14.01 N.upf
ATOMIC_POSITIONS crystal
Ac 0.114 0.886 0.500
Ac 0.133 0.867 0.087
Ac 0.867 0.133 0.587
Ac 0.886 0.114 0.000
Pa 0.217 0.783 0.803
Pa 0.783 0.217 0.303
Sb 0.488 0.512 0.274
Sb 0.512 0.488 0.774
N 0.055 0.945 0.843
N 0.280 0.720 0.431
N 0.296 0.704 0.178
N 0.369 0.631 0.803
N 0.497 0.503 0.590
N 0.503 0.497 0.090
N 0.631 0.369 0.303
N 0.704 0.296 0.678
N 0.720 0.280 0.931
N 0.945 0.055 0.343
CELL_PARAMETERS angstrom
1.850 -7.473 0.000
1.850 7.473 0.000
0.000 0.000 11.128



2.
! GGA-PBE AcScPaN4, relaxed; values from VASP
! Symmetry: No. 63
! Electronic total energy: -8.679 eV per atom
! Density of states at the Fermi level: 0.4999 states/eV/atom
! V: 212.2 Å³ per cell
&SYSTEM
  ibrav = 0, nat = 14, ntyp = 4
/
ATOMIC_SPECIES
Ac 227.00 Ac.upf
Sc 44.96 Sc.upf
Pa 231.04 Pa.upf
N 14.01 N.upf
ATOMIC_POSITIONS crystal
Ac 0.103 0.897 0.750
Ac 0.897 0.103 0.250
Sc 0.257 0.743 0.250
Sc 0.743 0.257 0.750
Pa 0.379 0.621 0.750
Pa 0.621 0.379 0.250
N 0.000 0.500 0.000
N 0.000 0.500 0.500
N 0.086 0.914 0.250
N 0.454 0.546 0.250
N 0.500 0.000 0.000
N 0.500 0.000 0.500
N 0.546 0.454 0.750
N 0.914 0.086 0.750
CELL_PARAMETERS angstrom
2.864 -6.221 0.000
2.864 6.221 0.000
0.000 0.000 5.955



3.
! GGA-PBE AcPaSeN2, relaxed; values from VASP
! Symmetry: No. 107
! Electronic total energy: -8.463 eV per atom
! V: 103.2 Å³ per cell
&SYSTEM
  ibrav = 0, nat = 5, ntyp = 4
/
ATOMIC_SPECIES
Ac 227.00 Ac.upf
Pa 231.04 Pa.upf
Se 78.96 Se.upf
N 14.01 N.upf
ATOMIC_POSITIONS crystal
Ac 0.000 0.000 0.000
Pa 0.310 0.310 0.000
Se 0.654 0.654 0.000
N 0.382 0.882 0.500
N 0.882 0.382 0.500
CELL_PARAMETERS angstrom
-1.999 1.999 6.457
1.999 -1.999 6.457
1.999 1.999 -6.457



4.
! GGA-PBE Ac2PaSi2N6, relaxed; values from VASP
! Symmetry: No. 166
! Electronic total energy: -8.286 eV per atom
! Density of states at the Fermi level: 0.2877 states/eV/atom
! V: 173.7 Å³ per cell
&SYSTEM
  ibrav = 0, nat = 11, ntyp = 4
/
ATOMIC_SPECIES
Ac 227.00 Ac.upf
Pa 231.04 Pa.upf
Si 28.09 Si.upf
N 14.01 N.upf
ATOMIC_POSITIONS crystal
Ac 0.210 0.210 0.210
Ac 0.790 0.790 0.790
Pa 0.000 0.000 0.000
Si 0.411 0.411 0.411
Si 0.589 0.589 0.589
N 0.245 0.746 0.746
N 0.254 0.254 0.755
N 0.254 0.755 0.254
N 0.746 0.245 0.746
N 0.746 0.746 0.245
N 0.755 0.254 0.254
CELL_PARAMETERS angstrom
2.906 1.678 5.938
-2.906 1.678 5.938
0.000 -3.355 5.938



What is the electronic total energy in the fourth record? -8.286 eV per atom